# Cs2SmWO6 GGA+U relaxed
data_Cs2SmWO6
_cell_length_a 6.8747
_cell_length_b 6.8747
_cell_length_c 6.0412
_cell_angle_alpha 90.00
_cell_angle_beta 90.00
_cell_angle_gamma 120.00
_symmetry_space_group_name_H-M 'P -3 m 1'
_symmetry_Int_Tables_number 164
_symmetry_space_group_name_Hall '-P 3 2"'
loop_
_atom_site_label
_atom_site_type_symbol
_atom_site_fract_x
_atom_site_fract_y
_atom_site_fract_z
_atom_site_occupancy
Cs1 Cs 0.3333 0.6667 0.1121 1
Sm1 Sm 0.0000 0.0000 0.5000 1
W1 W 0.0000 0.0000 0.0000 1
O1 O 0.1290 0.2580 0.7983 1
# DFT total energy in eV for the cell shown: -63.936